(1)
Material: Ba2In4Au5
Method: DFT, GGA-PBE
State: relaxed

## Properties
The value obtained for the total magnetic moment is 0.000 μB/f.u. The calculation puts the formation energy at -434.1 meV per atom. The crystal system is monoclinic.

CIF file:
```
data_Ba2In4Au5
_space_group_name_H-M_alt 'C 1 2/m 1'
_space_group_IT_number 12
_cell_length_a 13.350
_cell_length_b 6.728
_cell_length_c 8.393
_cell_angle_alpha 90.00
_cell_angle_beta 128.90
_cell_angle_gamma 90.00
loop_
_space_group_symop_operation_xyz
'x,y,z'
'-x,-y,-z'
'-x,y,-z'
'x,-y,z'
'x+1/2,y+1/2,z'
'-x+1/2,-y+1/2,-z'
'-x+1/2,y+1/2,-z'
'x+1/2,-y+1/2,z'
loop_
_atom_site_label
_atom_site_type_symbol
_atom_site_fract_x
_atom_site_fract_y
_atom_site_fract_z
Ba1 Ba 0.000 0.000 0.247
In1 In 0.148 0.500 0.444
In2 In 0.149 0.500 0.854
Au1 Au 0.000 0.500 0.000
Au2 Au 0.249 0.288 0.249
```

(2)
Material: BaIn2Au
Method: DFT, GGA-PBE
State: relaxed

## Properties
The value obtained for the total magnetic moment is 0.000 μB/f.u. The calculation puts the formation energy at -333.3 meV per atom. The crystal system is tetragonal.

CIF file:
```
data_BaIn2Au
_space_group_name_H-M_alt 'P 4 m m'
_space_group_IT_number 99
_cell_length_a 3.817
_cell_length_b 3.817
_cell_length_c 7.944
_cell_angle_alpha 90.00
_cell_angle_beta 90.00
_cell_angle_gamma 90.00
loop_
_space_group_symop_operation_xyz
'x,y,z'
'-y,x,z'
'-x,-y,z'
'y,-x,z'
'-x,y,z'
'y,x,z'
'x,-y,z'
'-y,-x,z'
loop_
_atom_site_label
_atom_site_type_symbol
_atom_site_fract_x
_atom_site_fract_y
_atom_site_fract_z
Ba1 Ba 0.000 0.000 0.000
In1 In 0.000 0.000 0.548
In2 In 0.500 0.500 0.321
Au1 Au 0.500 0.500 0.726
```

(3)
Material: BaIn2Au
Method: DFT, GGA-PBE
State: relaxed

## Properties
The value obtained for the total magnetic moment is 0.000 μB/f.u. The calculation puts the formation energy at -490.3 meV per atom. The crystal system is orthorhombic.

CIF file:
```
data_BaIn2Au
_space_group_name_H-M_alt 'I m m m'
_space_group_IT_number 71
_space_group_name_Hall '-I 2 2'
_cell_length_a 5.020
_cell_length_b 10.208
_cell_length_c 18.578
_cell_angle_alpha 90.00
_cell_angle_beta 90.00
_cell_angle_gamma 90.00
loop_
_atom_site_label
_atom_site_type_symbol
_atom_site_fract_x
_atom_site_fract_y
_atom_site_fract_z
Ba1 Ba 0.000 0.000 0.205
Ba2 Ba 0.000 0.251 0.000
In1 In 0.000 0.000 0.411
In2 In 0.000 0.351 0.190
In3 In 0.000 0.500 0.425
Au1 Au 0.000 0.262 0.350
```